[1]
## Nd3Sm3HoZn2 (PBE)

Data for Nd3Sm3HoZn2 after structural relaxation.

extended XYZ file:
```
9
Lattice="9.2045 0.0000 0.0000 -4.6023 7.9714 0.0000 0.0000 0.0000 3.6720" Properties=species:S:1:pos:R:3 pbc="T T T"
Nd -3.1607 5.4744 0.0000
Nd 1.4416 2.4969 0.0000
Nd 6.3213 0.0000 0.0000
Sm -1.7292 2.9951 1.8360
Sm 3.4584 0.0000 1.8360
Sm 2.8731 4.9763 1.8360
Ho 0.0000 0.0000 1.8360
Zn 0.0000 5.3142 0.0000
Zn 4.6023 2.6571 0.0000
```

## Properties
The value obtained for the density of states at the Fermi level is 1.48 states/eV/atom.

[2]
## NdSmHoZr (PBE)

Data for NdSmHoZr after structural relaxation.

extended XYZ file:
```
4
Lattice="0.0000 3.9299 3.9299 3.9299 0.0000 3.9299 3.9299 3.9299 0.0000" Properties=species:S:1:pos:R:3 pbc="T T T"
Nd 0.0000 0.0000 0.0000
Sm 5.8949 5.8949 5.8949
Ho 1.9650 1.9650 1.9650
Zr 3.9299 3.9299 3.9299
```

## Properties
The value obtained for the density of states at the Fermi level is 2.14 states/eV/atom.

| no. | energy relative to the elements (eV/atom) | volume (Å³/cell) |
| --- | --- | --- |
| 1 | -0.019 | 269.4 |
| 2 | 0.244 | 121.4 |